Entry w
A relaxed structure of PrEr5Sc4, computed with GGA-PBE.

```
20
Lattice="5.3704 0.0000 0.0000 0.0000 11.1215 0.0000 0.0000 0.0000 10.0842" Properties=species:S:1:pos:R:3 pbc="T T T"
Sc 4.0334 0.0000 2.5151
Sc 4.0334 0.0000 7.5691
Sc 1.3370 5.5608 2.5270
Sc 4.0309 2.1601 0.0000
Sc 1.3370 5.5608 7.5572
Sc 1.3395 7.7208 5.0421
Sc 4.0309 8.9615 0.0000
Sc 1.3395 3.4007 5.0421
Pr 1.3525 0.0000 0.0000
Pr 4.0179 5.5608 5.0421
Er 1.3429 8.8770 8.0707
Er 1.3429 8.8770 2.0135
Er 1.3429 2.2445 8.0707
Er 4.0178 5.5608 0.0000
Er 1.3429 2.2445 2.0135
Er 4.0275 7.8053 7.0556
Er 4.0275 3.3162 3.0286
Er 1.3526 0.0000 5.0421
Er 4.0275 7.8053 3.0286
Er 4.0275 3.3162 7.0556
```

Summary:
For the density, the calculation gives 6.4 g/cm³. The calculation puts the total magnetization at 0.00 μB per cell. The calculation puts the density of states at the Fermi level at 15.44 states/eV/f.u. Its symmetry is No. 59.

Entry x
A relaxed structure of PrEr5Sc4, computed with GGA-PBE.

```
10
Lattice="6.1520 0.0000 0.0000 3.0760 6.9363 0.0000 3.0760 0.0000 6.9363" Properties=species:S:1:pos:R:3 pbc="T T T"
Er 8.9149 2.7177 6.2495
Er 4.1802 0.0000 0.0000
Er 5.8389 0.6868 2.7177
Er 2.7629 4.2186 0.6868
Er 5.8389 6.2495 4.2186
Pr 1.3724 0.0000 0.0000
Sc 5.8617 2.8930 4.8421
Sc 2.7857 2.0942 2.8930
Sc 8.9376 4.8421 4.0433
Sc 5.8617 4.0433 2.0942
```

Summary:
For the density, the calculation gives 6.5 g/cm³. The calculation puts the total magnetization at 0.01 μB per cell. The calculation puts the density of states at the Fermi level at 15.73 states/eV/f.u. Its symmetry is No. 79.

Relative calculated energies, zero for the most stable structure, unit eV/atom: entry w 0.000; entry x 0.046.

Entry w
A relaxed structure of Pr3Er3Sc, computed with GGA-PBE.

```
14
Lattice="6.5968 0.4631 -0.0120 -0.9703 6.5414 -0.0120 -0.0118 -0.0147 10.5563" Properties=species:S:1:pos:R:3 pbc="T T T"
Pr 5.2467 3.7807 7.8540
Pr 0.3679 3.2091 2.6783
Pr 2.5603 5.9386 7.8540
Pr 3.0543 1.0512 2.6783
Pr 3.7906 4.7191 0.7762
Pr 1.8240 2.2708 9.7560
Er 0.3775 5.4588 -0.0120
Er 5.2151 1.5608 5.2661
Er 3.7804 4.7064 4.5459
Er 1.8342 2.2834 5.9863
Er 5.2490 1.5458 -0.0120
Er 0.3995 5.4290 5.2661
Sc 0.1367 0.1702 7.8939
Sc 5.4779 6.8196 2.6383
```

Summary:
For the density, the calculation gives 7.0 g/cm³. The calculation puts the total magnetization at 0.00 μB per cell. The calculation puts the density of states at the Fermi level at 12.96 states/eV/f.u. Its symmetry is No. 12.

Entry x
A relaxed structure of Pr3Er3Sc, computed with GGA-PBE.

```
14
Lattice="-4.2022 1.5976 -7.3705 -8.5247 -1.2808 -0.4737 -5.3861 6.9303 -0.4833" Properties=species:S:1:pos:R:3 pbc="T T T"
Er -9.6020 3.4393 -7.3814
Er -12.1539 4.4150 -4.8452
Er -11.1180 1.6736 -2.5413
Er -6.9949 5.5735 -5.7862
Er -5.9590 2.8321 -3.4823
Er -8.5109 3.8078 -0.9461
Sc -9.6007 6.8708 -3.1496
Sc -8.5122 0.3763 -5.1779
Pr -6.5243 2.3925 -6.9714
Pr -6.3780 6.1212 -2.6151
Pr -10.3339 6.6440 -6.4122
Pr -11.7350 1.1259 -5.7124
Pr -7.7790 0.6031 -1.9153
Pr -11.5887 4.8546 -1.3561
```

Summary:
For the density, the calculation gives 6.9 g/cm³. The calculation puts the total magnetization at 0.00 μB per cell. The calculation puts the density of states at the Fermi level at 9.52 states/eV/f.u. Its symmetry is No. 148.

Relative calculated energies, zero for the most stable structure, unit eV/atom: entry w 0.000; entry x 0.170.

Entry w
A relaxed structure of Pr2ErSc2, computed with GGA-PBE.

```
10
Lattice="8.6923 0.5823 0.6314 -1.2360 8.6237 0.6314 -2.7250 -3.3644 3.8493" Properties=species:S:1:pos:R:3 pbc="T T T"
Sc 3.3874 0.7004 3.5184
Sc 1.3439 5.1412 1.5937
Sc -1.3675 4.5516 3.5184
Sc 6.0989 1.2900 1.5937
Pr 0.1207 1.9099 2.3356
Pr 4.6107 3.9316 2.7765
Pr 1.5256 3.6446 4.7012
Pr 3.2057 2.1970 0.4109
Er 5.9823 -1.4014 3.5184
Er -1.2510 7.2430 1.5937
```

Summary:
For the density, the calculation gives 5.5 g/cm³. The calculation puts the total magnetization at 0.00 μB per cell. The calculation puts the density of states at the Fermi level at 7.19 states/eV/f.u. Its symmetry is No. 15.

Entry x
A relaxed structure of Pr2ErSc2, computed with GGA-PBE.

```
10
Lattice="-5.5263 -0.6932 -2.6541 -4.0614 -6.5500 2.9963 -6.4309 -1.5865 6.6336" Properties=species:S:1:pos:R:3 pbc="T T T"
Sc -4.3781 -5.1994 2.1880
Sc -11.3150 -6.2198 2.5564
Sc -11.6404 -3.6302 4.7878
Sc -4.7035 -2.6099 4.4194
Pr -3.1721 -1.9604 1.2587
Pr -6.5886 -2.6742 1.3880
Pr -12.8464 -6.8693 5.7171
Pr -9.4299 -6.1555 5.5878
Er -7.9130 -5.7180 2.3403
Er -8.1055 -3.1117 4.6355
```

Summary:
For the density, the calculation gives 5.9 g/cm³. The calculation puts the total magnetization at 0.00 μB per cell. The calculation puts the density of states at the Fermi level at 7.93 states/eV/f.u. Its symmetry is No. 15.

Relative calculated energies, zero for the most stable structure, unit eV/atom: entry w 0.292; entry x 0.000.

Entry w
A relaxed structure of PrEr4Sc5, computed with GGA-PBE.

```
10
Lattice="6.0519 0.0000 0.0000 3.0260 6.8838 0.0000 3.0260 0.0000 6.8838" Properties=species:S:1:pos:R:3 pbc="T T T"
Pr 1.3939 0.0000 0.0000
Sc 5.7130 0.6038 2.5640
Sc 2.6870 4.3198 0.6038
Sc 8.7389 2.5640 6.2800
Sc 5.7130 6.2800 4.3198
Sc 4.1634 0.0000 0.0000
Er 5.7735 2.7346 4.8544
Er 5.7736 4.1492 2.0294
Er 8.7995 4.8544 4.1492
Er 2.7476 2.0294 2.7346
```

Summary:
For the density, the calculation gives 6.0 g/cm³. The calculation puts the total magnetization at 0.00 μB per cell. The calculation puts the density of states at the Fermi level at 16.04 states/eV/f.u. Its symmetry is No. 79.

Entry x
A relaxed structure of PrEr4Sc5, computed with GGA-PBE.

```
10
Lattice="3.3320 0.0000 0.7611 1.9996 5.3666 -1.0797 -1.9770 -4.3343 16.3291" Properties=species:S:1:pos:R:3 pbc="T T T"
Er 1.2165 -1.5305 10.0225
Er 2.2947 -0.2655 12.9763
Er 1.0599 1.2978 3.0342
Er 2.1381 2.5628 5.9880
Sc 1.0871 1.7967 10.5889
Sc 0.1605 -2.2934 14.6455
Sc 0.0113 0.5161 7.6247
Sc 3.1941 3.3257 1.3650
Sc 2.2675 -0.7644 5.4216
Pr 0.0000 0.0000 0.0000
```

Summary:
For the density, the calculation gives 6.2 g/cm³. The calculation puts the total magnetization at 0.00 μB per cell. The calculation puts the density of states at the Fermi level at 14.76 states/eV/f.u. Its symmetry is No. 12.

Relative calculated energies, zero for the most stable structure, unit eV/atom: entry w 0.238; entry x 0.000.

Entry w
A relaxed structure of PrEr6Sc4, computed with GGA-PBE.

```
22
Lattice="5.4544 0.0000 0.0000 -2.7272 4.7041 0.0000 0.0000 0.0000 24.8606" Properties=species:S:1:pos:R:3 pbc="T T T"
Er 2.7272 0.0000 0.0000
Er 0.0000 1.6049 22.4817
Er 0.0000 1.6049 14.8092
Er 2.7272 0.0000 12.4303
Er 2.7272 3.0991 2.3789
Er 2.7272 3.1793 16.8323
Er 2.7272 3.1793 20.4586
Er 2.7272 0.0445 18.6455
Er 0.0000 1.5248 4.4020
Er 0.0000 1.5248 8.0283
Er 2.7272 3.0991 10.0514
Er 0.0000 4.6596 6.2152
Sc 0.0000 1.5522 1.0480
Sc 2.7272 3.1518 23.8126
Sc 0.0000 4.6596 9.3812
Sc 2.7272 0.0444 21.8116
Sc 2.7272 0.0444 15.4794
Sc 0.0000 4.6596 3.0491
Sc 0.0000 1.5522 11.3823
Sc 2.7272 3.1518 13.4783
Pr 0.0000 1.6087 18.6455
Pr 2.7272 3.0953 6.2152
```

Summary:
For the density, the calculation gives 6.9 g/cm³. The calculation puts the total magnetization at 0.00 μB per cell. The calculation puts the density of states at the Fermi level at 19.05 states/eV/f.u. Its symmetry is No. 63.

Entry x
A relaxed structure of PrEr6Sc4, computed with GGA-PBE.

```
11
Lattice="7.1855 0.0000 0.0000 0.0000 7.1855 0.0000 -3.5928 -3.5928 6.5589" Properties=species:S:1:pos:R:3 pbc="T T T"
Er -1.7237 -1.7237 4.0328
Er 1.8691 5.3164 2.5261
Er 1.7237 1.7237 4.0328
Er 0.0000 3.5928 0.0000
Er 3.5928 0.0000 0.0000
Er 5.3164 1.8691 2.5261
Pr 3.5928 3.5928 0.0000
Sc 1.0916 1.0916 1.0544
Sc 6.0939 6.0939 1.0544
Sc 2.5012 -2.5012 5.5045
Sc -2.5012 2.5012 5.5045
```

Summary:
For the density, the calculation gives 6.5 g/cm³. The calculation puts the total magnetization at 0.00 μB per cell. The calculation puts the density of states at the Fermi level at 15.60 states/eV/f.u. Its symmetry is No. 121.

Relative calculated energies, zero for the most stable structure, unit eV/atom: entry w 0.000; entry x 0.255.

Entry w
A relaxed structure of Pr2Er3Sc, computed with GGA-PBE.

```
12
Lattice="-2.3870 1.2146 2.1716 -6.8815 1.3792 -5.5982 -6.7093 -10.8963 1.4570" Properties=species:S:1:pos:R:3 pbc="T T T"
Sc -8.6918 -5.7608 -0.8571
Sc -7.2861 -2.5417 -1.1125
Er -2.3176 0.4212 -0.0457
Er -12.1024 -5.6633 -1.9232
Er -3.8754 -2.6392 -0.0464
Er -6.3024 -8.3918 0.5035
Er -13.6602 -8.7237 -1.9239
Er -9.6754 0.0893 -2.4731
Pr -4.8361 -0.4380 -2.3335
Pr -6.2634 -4.8006 1.2751
Pr -9.7145 -3.5018 -3.2448
Pr -11.1418 -7.8645 0.3638
```

Summary:
For the density, the calculation gives 7.2 g/cm³. The calculation puts the total magnetization at 0.01 μB per cell. The calculation puts the density of states at the Fermi level at 10.21 states/eV/f.u. Its symmetry is No. 12.

Entry x
A relaxed structure of Pr2Er3Sc, computed with GGA-PBE.

```
12
Lattice="-3.4418 3.3238 -1.4049 5.0779 1.0635 -9.9234 -3.5806 -6.9443 1.1928" Properties=species:S:1:pos:R:3 pbc="T T T"
Er -3.3936 -2.4866 -6.4185
Er 1.4491 -0.0704 -3.7170
Er 0.0837 -2.4166 -5.9217
Er -2.0501 -3.5499 -3.3763
Er 0.1056 0.9929 -6.7592
Er -2.0282 -0.1404 -4.2138
Sc -1.2703 -1.3774 -8.9963
Sc -0.6742 -1.1796 -1.1392
Pr -4.2657 -4.7527 -0.7941
Pr 2.3212 2.1957 -9.3414
Pr -4.1446 -1.2607 -1.6795
Pr 2.2001 -1.2963 -8.4560
```

Summary:
For the density, the calculation gives 7.3 g/cm³. The calculation puts the total magnetization at 0.00 μB per cell. The calculation puts the density of states at the Fermi level at 8.65 states/eV/f.u. Its symmetry is No. 12.

Relative calculated energies, zero for the most stable structure, unit eV/atom: entry w 0.110; entry x 0.000.

Entry w
A relaxed structure of PrEr2Sc4, computed with GGA-PBE.

```
14
Lattice="0.7183 5.3175 -6.2155 8.5528 -4.3316 0.9992 -5.4914 -3.4455 -1.7719" Properties=species:S:1:pos:R:3 pbc="T T T"
Sc 2.7083 1.6532 -3.1819
Sc -0.0631 -0.0822 -4.0446
Sc 1.5963 1.6689 -6.2953
Sc 8.4864 -1.0562 -3.2421
Sc 1.2588 -2.7746 -3.0103
Sc 5.7418 0.6701 -4.2912
Sc 5.7540 -2.6808 -4.0791
Sc 4.0626 -0.9856 -2.1018
Pr 1.0491 -0.2902 -0.7045
Pr 3.8962 -4.3647 -1.5707
Er -1.7058 -1.9794 -1.5066
Er 6.6479 -2.6549 -0.7009
Er -1.1040 -0.0521 -7.1298
Er 2.9614 -1.0398 -5.2051
```

Summary:
For the density, the calculation gives 5.6 g/cm³. The calculation puts the total magnetization at 0.00 μB per cell. The calculation puts the density of states at the Fermi level at 11.46 states/eV/f.u. Its symmetry is No. 1.

Entry x
A relaxed structure of PrEr2Sc4, computed with GGA-PBE.

```
7
Lattice="8.0935 0.0068 -0.0041 -0.0040 8.0929 0.0087 -4.0434 -4.0495 3.1348" Properties=species:S:1:pos:R:3 pbc="T T T"
Sc -1.5570 1.5566 3.1385
Sc 5.6031 2.4937 0.0000
Sc 5.6022 5.6092 0.0032
Sc 2.4874 2.4904 0.0020
Er -0.0001 4.0482 1.5727
Er 4.0461 0.0020 1.5665
Pr 0.0001 0.0000 0.0001
```

Summary:
For the density, the calculation gives 5.3 g/cm³. The calculation puts the total magnetization at 3.25 μB per cell. The calculation puts the density of states at the Fermi level at 13.88 states/eV/f.u. Its symmetry is No. 139.

Relative calculated energies, zero for the most stable structure, unit eV/atom: entry w 0.000; entry x 0.182.

Entry w
A relaxed structure of Pr2Er6Sc, computed with GGA-PBE.

```
18
Lattice="6.0135 -0.1006 -0.0973 1.2040 9.7957 1.4874 1.2040 1.8040 9.7423" Properties=species:S:1:pos:R:3 pbc="T T T"
Sc 5.7142 8.8892 2.2729
Sc 2.7074 2.6100 8.8595
Er 4.2941 1.2097 3.3482
Er 5.5025 4.0235 9.7928
Er 1.1535 6.3625 3.8890
Er 1.2874 3.4359 1.1492
Er 7.2681 5.1367 7.2434
Er 5.9259 1.5308 7.3797
Er 2.9191 7.4757 1.3396
Er 4.1275 10.2894 7.7842
Er 2.4958 9.9683 3.7527
Er 7.1342 8.0632 9.9832
Er 4.2614 7.4563 4.9479
Er 4.1602 4.0428 6.1844
Pr 7.2664 8.5372 6.5810
Pr 4.1620 4.5947 2.7643
Pr 1.1553 2.9620 4.5514
Pr 4.2596 6.9045 8.3681
```

Summary:
For the density, the calculation gives 7.9 g/cm³. The calculation puts the total magnetization at 0.00 μB per cell. The calculation puts the density of states at the Fermi level at 12.72 states/eV/f.u. Its symmetry is No. 15.

Entry x
A relaxed structure of Pr2Er6Sc, computed with GGA-PBE.

```
9
Lattice="-1.6049 -0.4021 3.0927 -8.0198 3.8612 -3.6597 1.4247 -9.5049 -0.4964" Properties=species:S:1:pos:R:3 pbc="T T T"
Pr -2.9037 -5.3453 0.7236
Pr -5.2963 -0.7006 -1.7869
Er -8.1326 -2.8171 -1.5151
Er -6.6891 2.1097 -0.1256
Er -0.0674 -3.2288 0.4517
Er -1.5109 -8.1555 -0.9378
Er -4.6893 -4.0393 -2.0520
Er -3.5107 -2.0065 0.9887
Sc -0.8024 -0.2010 1.5464
```

Summary:
For the density, the calculation gives 7.9 g/cm³. The calculation puts the total magnetization at 0.00 μB per cell. The calculation puts the density of states at the Fermi level at 17.55 states/eV/f.u. Its symmetry is No. 147.

Relative calculated energies, zero for the most stable structure, unit eV/atom: entry w 0.019; entry x 0.000.